A relaxed AcEu2Er crystal, computed with PBE-GGA.

Results
- symmetry = No. 166
- ΔH_f (0 K) (eV per atom) = 0.19

Cell: 3.7234 3.7234 13.4510 Å, 82.04 82.04 60.00°
Closest atoms and distances in Å follow each position.
Positions (direct):
Eu 0.5918 0.5918 0.2247  1 Ac 3.66, 3 Er 3.68, 6 Eu 3.72
Er 0.0000 0.0000 0.0000  6 Eu 3.68, 6 Er 3.72
Ac 0.5000 0.5000 0.5000  2 Eu 3.66, 6 Ac 3.72
Eu 0.4082 0.4082 0.7753  1 Ac 3.66, 3 Er 3.68, 6 Eu 3.72